(1)
The following is a DFT calculation (GGA-PBE) of PmSc3In after structural relaxation.

The structure in POSCAR format:
```
PmSc3In
1.0
-4.558 2.116 0.987
-3.452 -6.613 -1.766
0.480 -1.973 6.451
Pm Sc In
2 6 2
Direct
0.500 0.000 0.207 Pm
0.000 0.500 0.793 Pm
0.000 0.690 0.270 Sc
0.500 0.810 0.730 Sc
0.500 0.190 0.730 Sc
0.000 0.310 0.270 Sc
0.000 0.000 0.941 Sc
0.500 0.500 0.059 Sc
0.000 0.000 0.529 In
0.500 0.500 0.471 In
```

Calculated values
For the formation energy from the elements, the calculation gives -11.07 kJ per mole of atoms. As for the volume: 265 Å³/cell. Its size of the total moment is 0.00 μB per formula unit. As for the symmetry: Pmmn, No. 59. The calculation puts the calculated total energy at -5.411 eV per atom. For the distance to the lowest polymorph of the same formula, the calculation gives 0 meV/atom.

(2)
The following is a DFT calculation (GGA-PBE) of Pm4ScIn after structural relaxation.

The structure in POSCAR format:
```
Pm4ScIn
1.0
3.488 0.000 0.000
0.000 9.584 0.032
0.000 -0.019 5.738
Pm Sc In
4 1 1
Direct
0.500 0.691 0.000 Pm
0.500 0.309 0.000 Pm
0.000 0.184 0.500 Pm
0.000 0.816 0.500 Pm
0.500 0.500 0.500 Sc
0.000 0.000 0.000 In
```

Calculated values
For the formation energy from the elements, the calculation gives 4.25 kJ per mole of atoms. As for the volume: 192 Å³/cell. Its size of the total moment is 0.00 μB per formula unit. As for the symmetry: Pmmm, No. 47. The calculation puts the calculated total energy at -4.635 eV per atom. For the distance to the lowest polymorph of the same formula, the calculation gives 0 meV/atom.

(3)
The following is a DFT calculation (GGA-PBE) of PmSc2In after structural relaxation.

The structure in POSCAR format:
```
PmSc2In
1.0
7.490 0.602 -3.291
-8.067 1.307 0.713
1.464 6.563 4.532
Pm Sc In
2 4 2
Direct
0.737 0.263 0.250 Pm
0.263 0.737 0.750 Pm
0.596 0.404 0.940 Sc
0.404 0.596 0.060 Sc
0.404 0.596 0.440 Sc
0.596 0.404 0.560 Sc
0.044 0.956 0.250 In
0.956 0.044 0.750 In
```

Calculated values
For the formation energy from the elements, the calculation gives -13.77 kJ per mole of atoms. As for the volume: 212 Å³/cell. Its size of the total moment is 0.00 μB per formula unit. As for the symmetry: Cmcm, No. 63. The calculation puts the calculated total energy at -5.181 eV per atom. For the distance to the lowest polymorph of the same formula, the calculation gives 108 meV/atom.

(4)
The following is a DFT calculation (GGA-PBE) of Pm4ScIn after structural relaxation.

The structure in POSCAR format:
```
Pm4ScIn
1.0
5.391 0.000 0.000
2.695 4.656 0.262
2.695 1.039 8.509
Pm Sc In
4 1 1
Direct
0.630 0.630 0.111 Pm
0.370 0.370 0.889 Pm
0.124 0.126 0.627 Pm
0.876 0.874 0.373 Pm
0.000 0.000 0.000 Sc
0.500 0.500 0.500 In
```

Calculated values
For the formation energy from the elements, the calculation gives 24.80 kJ per mole of atoms. As for the volume: 212 Å³/cell. Its size of the total moment is 0.00 μB per formula unit. As for the symmetry: C2/m, No. 12. The calculation puts the calculated total energy at -4.422 eV per atom. For the distance to the lowest polymorph of the same formula, the calculation gives 213 meV/atom.

(5)
The following is a DFT calculation (GGA-PBE) of Pm3Sc4In4 after structural relaxation.

The structure in POSCAR format:
```
Pm3Sc4In4
1.0
4.936 0.000 0.000
0.000 7.507 0.000
-2.468 -3.754 8.116
Pm Sc In
3 4 4
Direct
0.117 0.117 0.233 Pm
0.883 0.883 0.767 Pm
0.000 0.500 0.000 Pm
0.325 0.116 0.649 Sc
0.675 0.467 0.351 Sc
0.675 0.884 0.351 Sc
0.325 0.533 0.649 Sc
0.202 0.702 0.405 In
0.798 0.298 0.595 In
0.500 0.802 0.000 In
0.500 0.198 0.000 In
```

Calculated values
For the formation energy from the elements, the calculation gives -30.35 kJ per mole of atoms. As for the volume: 301 Å³/cell. Its size of the total moment is 1.08 μB per formula unit. As for the symmetry: Immm, No. 71. The calculation puts the calculated total energy at -4.908 eV per atom.

(6)
The following is a DFT calculation (GGA-PBE) of PmSc2In2 after structural relaxation.

The structure in POSCAR format:
```
PmSc2In2
1.0
4.635 -1.173 0.213
-0.724 4.726 0.213
-0.393 -0.357 6.541
Pm Sc In
1 2 2
Direct
0.000 0.000 0.000 Pm
0.171 0.829 0.500 Sc
0.829 0.171 0.500 Sc
0.500 0.500 0.731 In
0.500 0.500 0.269 In
```

Calculated values
For the formation energy from the elements, the calculation gives -6.26 kJ per mole of atoms. As for the volume: 139 Å³/cell. Its size of the total moment is 0.03 μB per formula unit. As for the symmetry: Cmmm, No. 65. The calculation puts the calculated total energy at -4.643 eV per atom. For the distance to the lowest polymorph of the same formula, the calculation gives 156 meV/atom.

(7)
The following is a DFT calculation (GGA-PBE) of PmSc2In after structural relaxation.

The structure in POSCAR format:
```
PmSc2In
1.0
-2.083 0.817 -2.624
-0.576 -3.349 -0.586
-6.785 0.212 5.454
Sc In Pm
2 1 1
Direct
0.000 0.000 0.779 Sc
0.000 0.000 0.221 Sc
0.500 0.500 0.000 In
0.500 0.500 0.500 Pm
```

Calculated values
For the formation energy from the elements, the calculation gives -20.65 kJ per mole of atoms. As for the volume: 104 Å³/cell. Its size of the total moment is 0.00 μB per formula unit. As for the symmetry: P4/mmm, No. 123. The calculation puts the calculated total energy at -5.252 eV per atom. For the distance to the lowest polymorph of the same formula, the calculation gives 37 meV/atom.

(8)
The following is a DFT calculation (GGA-PBE) of PmSc3In after structural relaxation.

The structure in POSCAR format:
```
PmSc3In
1.0
5.842 0.000 0.000
0.000 7.465 0.000
0.000 -3.733 6.465
Pm Sc In
2 6 2
Direct
0.750 0.667 0.333 Pm
0.250 0.333 0.667 Pm
0.750 0.608 0.804 Sc
0.250 0.804 0.608 Sc
0.250 0.392 0.196 Sc
0.750 0.196 0.392 Sc
0.250 0.804 0.196 Sc
0.750 0.196 0.804 Sc
0.000 0.000 0.000 In
0.500 0.000 0.000 In
```

Calculated values
For the formation energy from the elements, the calculation gives 6.21 kJ per mole of atoms. As for the volume: 282 Å³/cell. Its size of the total moment is 0.00 μB per formula unit. As for the symmetry: P6_3/mmc, No. 194. The calculation puts the calculated total energy at -5.232 eV per atom. For the distance to the lowest polymorph of the same formula, the calculation gives 179 meV/atom.